# 1
# PrDy4Tm5 (GGA-PBE, optimized geometry)
# Theoretical density   8.628 g/cm3
# Calculated total energy   -4.491 eV per atom
# E_form   63 meV per atom
# Size of the total moment   0.0 μB per formula unit
# ΔE to the lowest computed polymorph   0.00 eV per formula unit
data_PrDy4Tm5
_chemical_formula_sum 'Pr1 Dy4 Tm5'
_cell_length_a 3.533
_cell_length_b 6.636
_cell_length_c 14.046
_cell_angle_alpha 98.40
_cell_angle_beta 93.22
_cell_angle_gamma 103.91
_symmetry_space_group_name_H-M 'P -1'
_symmetry_Int_Tables_number 2
_symmetry_space_group_name_Hall '-P 1'
loop_
_atom_site_label
_atom_site_type_symbol
_atom_site_fract_x
_atom_site_fract_y
_atom_site_fract_z
Pr1 Pr 0.000 0.000 0.000
Dy1 Dy 0.115 0.809 0.219
Dy2 Dy 0.192 0.726 0.803
Tm1 Tm 0.205 0.880 0.583
Tm2 Tm 0.490 0.426 0.612
Tm3 Tm 0.500 0.500 0.000


# 2
# Pr3DyTm12 (GGA-PBE, optimized geometry)
# Theoretical density   8.684 g/cm3
# Calculated total energy   -4.508 eV per atom
# E_form   30 meV per atom
# Size of the total moment   0.0 μB per formula unit
data_Pr3DyTm12
_chemical_formula_sum 'Pr3 Dy1 Tm12'
_cell_length_a 4.998
_cell_length_b 4.998
_cell_length_c 20.001
_cell_angle_alpha 90.00
_cell_angle_beta 90.00
_cell_angle_gamma 90.00
_symmetry_space_group_name_H-M 'P 4/m m m'
_symmetry_Int_Tables_number 123
_symmetry_space_group_name_Hall '-P 4 2'
loop_
_atom_site_label
_atom_site_type_symbol
_atom_site_fract_x
_atom_site_fract_y
_atom_site_fract_z
Pr1 Pr 0.000 0.000 0.000
Pr2 Pr 0.000 0.000 0.251
Dy1 Dy 0.000 0.000 0.500
Tm1 Tm 0.000 0.500 0.126
Tm2 Tm 0.000 0.500 0.377
Tm3 Tm 0.500 0.500 0.000
Tm4 Tm 0.500 0.500 0.252
Tm5 Tm 0.500 0.500 0.500


# 3
# Pr5Dy2Tm6 (GGA-PBE, optimized geometry)
# Theoretical density   7.900 g/cm3
# Calculated total energy   -4.513 eV per atom
# E_form   97 meV per atom
# Size of the total moment   0.0 μB per formula unit
data_Pr5Dy2Tm6
_chemical_formula_sum 'Pr10 Dy4 Tm12'
_cell_length_a 11.630
_cell_length_b 20.539
_cell_length_c 3.596
_cell_angle_alpha 90.00
_cell_angle_beta 90.00
_cell_angle_gamma 90.00
_symmetry_space_group_name_H-M 'P b a m'
_symmetry_Int_Tables_number 55
_symmetry_space_group_name_Hall '-P 2 2ab'
loop_
_atom_site_label
_atom_site_type_symbol
_atom_site_fract_x
_atom_site_fract_y
_atom_site_fract_z
Pr1 Pr 0.000 0.000 0.000
Pr2 Pr 0.082 0.273 0.000
Pr3 Pr 0.199 0.550 0.000
Dy1 Dy 0.172 0.711 0.500
Tm1 Tm 0.062 0.419 0.500
Tm2 Tm 0.079 0.132 0.500
Tm3 Tm 0.176 0.862 0.000


# 4
# Pr2DyTm6 (GGA-PBE, optimized geometry)
# Theoretical density   8.436 g/cm3
# Calculated total energy   -4.441 eV per atom
# E_form   113 meV per atom
# Size of the total moment   0.0 μB per formula unit
# ΔE to the lowest computed polymorph   0.35 eV per formula unit
data_Pr2DyTm6
_chemical_formula_sum 'Pr8 Dy4 Tm24'
_cell_length_a 12.766
_cell_length_b 14.147
_cell_length_c 6.529
_cell_angle_alpha 90.00
_cell_angle_beta 103.22
_cell_angle_gamma 90.00
_symmetry_space_group_name_H-M 'C 1 2/c 1'
_symmetry_Int_Tables_number 15
_symmetry_space_group_name_Hall '-C 2yc'
loop_
_atom_site_label
_atom_site_type_symbol
_atom_site_fract_x
_atom_site_fract_y
_atom_site_fract_z
Pr1 Pr 0.144 0.027 0.376
Dy1 Dy 0.000 0.383 0.250
Tm1 Tm 0.035 0.190 0.002
Tm2 Tm 0.131 0.410 0.815
Tm3 Tm 0.241 0.202 0.734


# 5
# Pr5Dy2Tm2 (GGA-PBE, optimized geometry)
# Theoretical density   7.384 g/cm3
# Calculated total energy   -4.501 eV per atom
# E_form   171 meV per atom
# Size of the total moment   0.0 μB per formula unit
# ΔE to the lowest computed polymorph   1.34 eV per formula unit
data_Pr5Dy2Tm2
_chemical_formula_sum 'Pr20 Dy8 Tm8'
_cell_length_a 15.214
_cell_length_b 12.949
_cell_length_c 6.244
_cell_angle_alpha 90.00
_cell_angle_beta 90.00
_cell_angle_gamma 90.00
_symmetry_space_group_name_H-M 'I m a 2'
_symmetry_Int_Tables_number 46
_symmetry_space_group_name_Hall 'I 2 -2a'
loop_
_atom_site_label
_atom_site_type_symbol
_atom_site_fract_x
_atom_site_fract_y
_atom_site_fract_z
Pr1 Pr 0.049 0.197 0.000
Pr2 Pr 0.144 0.684 0.153
Pr3 Pr 0.250 0.174 0.245
Dy1 Dy 0.000 0.000 0.584
Dy2 Dy 0.250 0.057 0.722
Tm1 Tm 0.136 0.551 0.650


# 6
# PrDy4Tm5 (GGA-PBE, optimized geometry)
# Theoretical density   8.415 g/cm3
# Calculated total energy   -4.248 eV per atom
# E_form   307 meV per atom
# Size of the total moment   0.0 μB per formula unit
# ΔE to the lowest computed polymorph   2.44 eV per formula unit
data_PrDy4Tm5
_chemical_formula_sum 'Pr2 Dy8 Tm10'
_cell_length_a 10.161
_cell_length_b 10.161
_cell_length_c 6.252
_cell_angle_alpha 90.00
_cell_angle_beta 90.00
_cell_angle_gamma 90.00
_symmetry_space_group_name_H-M 'I 4'
_symmetry_Int_Tables_number 79
_symmetry_space_group_name_Hall 'I 4'
loop_
_atom_site_label
_atom_site_type_symbol
_atom_site_fract_x
_atom_site_fract_y
_atom_site_fract_z
Pr1 Pr 0.000 0.000 0.000
Dy1 Dy 0.051 0.650 0.231
Tm1 Tm 0.000 0.000 0.458
Tm2 Tm 0.144 0.766 0.726


# 7
# Pr5Dy2Tm12 (GGA-PBE, optimized geometry)
# Theoretical density   8.204 g/cm3
# Calculated total energy   -4.384 eV per atom
# E_form   182 meV per atom
# Size of the total moment   0.0 μB per formula unit
# ΔE to the lowest computed polymorph   2.15 eV per formula unit
data_Pr5Dy2Tm12
_chemical_formula_sum 'Pr10 Dy4 Tm24'
_cell_length_a 18.280
_cell_length_b 7.023
_cell_length_c 10.339
_cell_angle_alpha 90.00
_cell_angle_beta 111.20
_cell_angle_gamma 90.00
_symmetry_space_group_name_H-M 'C 1 2/m 1'
_symmetry_Int_Tables_number 12
_symmetry_space_group_name_Hall '-C 2y'
loop_
_atom_site_label
_atom_site_type_symbol
_atom_site_fract_x
_atom_site_fract_y
_atom_site_fract_z
Pr1 Pr 0.000 0.000 0.000
Pr2 Pr 0.182 0.500 0.711
Pr3 Pr 0.188 0.000 0.681
Dy1 Dy 0.000 0.273 0.500
Tm1 Tm 0.002 0.500 0.175
Tm2 Tm 0.025 0.000 0.746
Tm3 Tm 0.157 0.247 0.367
Tm4 Tm 0.163 0.253 0.020


# 8
# PrDy7Tm12 (GGA-PBE, optimized geometry)
# Theoretical density   8.569 g/cm3
# Calculated total energy   -4.289 eV per atom
# E_form   244 meV per atom
# Size of the total moment   0.0 μB per formula unit
# ΔE to the lowest computed polymorph   0.00 eV per formula unit
data_PrDy7Tm12
_chemical_formula_sum 'Pr3 Dy21 Tm36'
_cell_length_a 11.9549
_cell_length_b 11.9549
_cell_length_c 15.5263
_cell_angle_alpha 90.00
_cell_angle_beta 90.00
_cell_angle_gamma 120.00
_symmetry_space_group_name_H-M 'R -3'
_symmetry_Int_Tables_number 148
_symmetry_space_group_name_Hall '-R 3'
loop_
_atom_site_label
_atom_site_type_symbol
_atom_site_fract_x
_atom_site_fract_y
_atom_site_fract_z
Pr1 Pr 0.0000 0.0000 0.0000
Dy1 Dy 0.0000 0.0000 0.5000
Dy2 Dy 0.0486 0.4629 0.5849
Tm1 Tm 0.0201 0.5709 0.2127
Tm2 Tm 0.0486 0.8599 0.2980


# 9
# Pr3Dy6Tm (GGA-PBE, optimized geometry)
# Theoretical density   7.844 g/cm3
# Calculated total energy   -4.493 eV per atom
# E_form   149 meV per atom
# Size of the total moment   0.0 μB per formula unit
# ΔE to the lowest computed polymorph   0.00 eV per formula unit
data_Pr3Dy6Tm
_chemical_formula_sum 'Pr12 Dy24 Tm4'
_cell_length_a 10.974
_cell_length_b 18.956
_cell_length_c 6.377
_cell_angle_alpha 90.00
_cell_angle_beta 90.00
_cell_angle_gamma 90.00
_symmetry_space_group_name_H-M 'C m c 21'
_symmetry_Int_Tables_number 36
_symmetry_space_group_name_Hall 'C 2c -2'
loop_
_atom_site_label
_atom_site_type_symbol
_atom_site_fract_x
_atom_site_fract_y
_atom_site_fract_z
Pr1 Pr 0.000 0.112 0.000
Pr2 Pr 0.175 0.386 0.607
Dy1 Dy 0.000 0.228 0.423
Dy2 Dy 0.000 0.461 0.199
Dy3 Dy 0.168 0.046 0.521
Dy4 Dy 0.239 0.210 0.701
Tm1 Tm 0.000 0.305 0.943


# 10
# Pr3Dy2Tm2 (GGA-PBE, optimized geometry)
# Theoretical density   7.787 g/cm3
# Calculated total energy   -4.598 eV per atom
# E_form   43 meV per atom
# Size of the total moment   0.0 μB per formula unit
# ΔE to the lowest computed polymorph   0.00 eV per formula unit
data_Pr3Dy2Tm2
_chemical_formula_sum 'Pr3 Dy2 Tm2'
_cell_length_a 3.555
_cell_length_b 8.610
_cell_length_c 8.794
_cell_angle_alpha 62.17
_cell_angle_beta 89.98
_cell_angle_gamma 78.08
_symmetry_space_group_name_H-M 'P -1'
_symmetry_Int_Tables_number 2
_symmetry_space_group_name_Hall '-P 1'
loop_
_atom_site_label
_atom_site_type_symbol
_atom_site_fract_x
_atom_site_fract_y
_atom_site_fract_z
Pr1 Pr 0.000 0.000 0.000
Pr2 Pr 0.294 0.412 0.713
Dy1 Dy 0.071 0.859 0.432
Tm1 Tm 0.362 0.276 0.168


# 11
# Pr3DyTm (GGA-PBE, optimized geometry)
# Theoretical density   7.372 g/cm3
# Calculated total energy   -4.665 eV per atom
# E_form   18 meV per atom
# Size of the total moment   0.0 μB per formula unit
# ΔE to the lowest computed polymorph   0.00 eV per formula unit
data_Pr3DyTm
_chemical_formula_sum 'Pr6 Dy2 Tm2'
_cell_length_a 6.272
_cell_length_b 6.280
_cell_length_c 9.634
_cell_angle_alpha 83.97
_cell_angle_beta 71.02
_cell_angle_gamma 71.22
_symmetry_space_group_name_H-M 'P -1'
_symmetry_Int_Tables_number 2
_symmetry_space_group_name_Hall '-P 1'
loop_
_atom_site_label
_atom_site_type_symbol
_atom_site_fract_x
_atom_site_fract_y
_atom_site_fract_z
Pr1 Pr 0.051 0.250 0.396
Pr2 Pr 0.249 0.250 0.000
Pr3 Pr 0.448 0.250 0.604
Dy1 Dy 0.349 0.750 0.802
Tm1 Tm 0.151 0.750 0.198


# 12
# Pr3Dy2Tm6 (GGA-PBE, optimized geometry)
# Theoretical density   7.858 g/cm3
# Calculated total energy   -4.307 eV per atom
# E_form   273 meV per atom
# Size of the total moment   0.0 μB per formula unit
# ΔE to the lowest computed polymorph   0.70 eV per formula unit
data_Pr3Dy2Tm6
_chemical_formula_sum 'Pr6 Dy4 Tm12'
_cell_length_a 4.739
_cell_length_b 4.739
_cell_length_c 33.152
_cell_angle_alpha 90.00
_cell_angle_beta 90.00
_cell_angle_gamma 90.00
_symmetry_space_group_name_H-M 'I 4/m m m'
_symmetry_Int_Tables_number 139
_symmetry_space_group_name_Hall '-I 4 2'
loop_
_atom_site_label
_atom_site_type_symbol
_atom_site_fract_x
_atom_site_fract_y
_atom_site_fract_z
Pr1 Pr 0.000 0.000 0.000
Pr2 Pr 0.000 0.000 0.206
Dy1 Dy 0.000 0.000 0.454
Tm1 Tm 0.000 0.000 0.310
Tm2 Tm 0.000 0.500 0.120


# 13
# Pr2Dy8Tm (GGA-PBE, optimized geometry)
# Theoretical density   8.046 g/cm3
# Calculated total energy   -4.452 eV per atom
# E_form   171 meV per atom
# Size of the total moment   0.0 μB per formula unit
# ΔE to the lowest computed polymorph   0.14 eV per formula unit
data_Pr2Dy8Tm
_chemical_formula_sum 'Pr4 Dy16 Tm2'
_cell_length_a 16.512
_cell_length_b 6.648
_cell_length_c 6.695
_cell_angle_alpha 90.00
_cell_angle_beta 100.45
_cell_angle_gamma 90.00
_symmetry_space_group_name_H-M 'C 1 2/m 1'
_symmetry_Int_Tables_number 12
_symmetry_space_group_name_Hall '-C 2y'
loop_
_atom_site_label
_atom_site_type_symbol
_atom_site_fract_x
_atom_site_fract_y
_atom_site_fract_z
Pr1 Pr 0.245 0.000 0.311
Dy1 Dy 0.085 0.261 0.398
Dy2 Dy 0.090 0.500 0.909
Dy3 Dy 0.196 0.000 0.802
Tm1 Tm 0.000 0.000 0.000


# 14
# Pr2Dy6Tm (GGA-PBE, optimized geometry)
# Theoretical density   8.025 g/cm3
# Calculated total energy   -4.517 eV per atom
# E_form   110 meV per atom
# Size of the total moment   0.0 μB per formula unit
data_Pr2Dy6Tm
_chemical_formula_sum 'Pr4 Dy12 Tm2'
_cell_length_a 3.504
_cell_length_b 10.343
_cell_length_c 16.282
_cell_angle_alpha 90.00
_cell_angle_beta 90.00
_cell_angle_gamma 90.00
_symmetry_space_group_name_H-M 'I m m m'
_symmetry_Int_Tables_number 71
_symmetry_space_group_name_Hall '-I 2 2'
loop_
_atom_site_label
_atom_site_type_symbol
_atom_site_fract_x
_atom_site_fract_y
_atom_site_fract_z
Pr1 Pr 0.000 0.000 0.154
Dy1 Dy 0.000 0.306 0.500
Dy2 Dy 0.000 0.335 0.177
Tm1 Tm 0.000 0.500 0.000


# 15
# Pr2Dy6Tm5 (GGA-PBE, optimized geometry)
# Theoretical density   8.325 g/cm3
# Calculated total energy   -4.477 eV per atom
# E_form   103 meV per atom
# Size of the total moment   0.0 μB per formula unit
data_Pr2Dy6Tm5
_chemical_formula_sum 'Pr4 Dy12 Tm10'
_cell_length_a 11.676
_cell_length_b 20.090
_cell_length_c 3.574
_cell_angle_alpha 90.00
_cell_angle_beta 90.00
_cell_angle_gamma 90.00
_symmetry_space_group_name_H-M 'P b a m'
_symmetry_Int_Tables_number 55
_symmetry_space_group_name_Hall '-P 2 2ab'
loop_
_atom_site_label
_atom_site_type_symbol
_atom_site_fract_x
_atom_site_fract_y
_atom_site_fract_z
Pr1 Pr 0.165 0.217 0.000
Dy1 Dy 0.058 0.923 0.000
Dy2 Dy 0.079 0.635 0.000
Dy3 Dy 0.178 0.376 0.500
Tm1 Tm 0.000 0.500 0.500
Tm2 Tm 0.096 0.779 0.500
Tm3 Tm 0.200 0.052 0.500


# 16
# Pr2Dy2Tm (GGA-PBE, optimized geometry)
# Theoretical density   7.818 g/cm3
# Calculated total energy   -4.619 eV per atom
# E_form   28 meV per atom
# Size of the total moment   0.0 μB per formula unit
# ΔE to the lowest computed polymorph   0.00 eV per formula unit
data_Pr2Dy2Tm
_chemical_formula_sum 'Pr4 Dy4 Tm2'
_cell_length_a 6.231
_cell_length_b 3.601
_cell_length_c 14.684
_cell_angle_alpha 90.00
_cell_angle_beta 90.07
_cell_angle_gamma 90.00
_symmetry_space_group_name_H-M 'C 1 2/m 1'
_symmetry_Int_Tables_number 12
_symmetry_space_group_name_Hall '-C 2y'
loop_
_atom_site_label
_atom_site_type_symbol
_atom_site_fract_x
_atom_site_fract_y
_atom_site_fract_z
Pr1 Pr 0.168 0.000 0.394
Dy1 Dy 0.165 0.000 0.808
Tm1 Tm 0.000 0.500 0.000


# 17
# Pr2DyTm8 (GGA-PBE, optimized geometry)
# Theoretical density   8.678 g/cm3
# Calculated total energy   -4.510 eV per atom
# E_form   29 meV per atom
# Size of the total moment   0.0 μB per formula unit
# ΔE to the lowest computed polymorph   0.00 eV per formula unit
data_Pr2DyTm8
_chemical_formula_sum 'Pr4 Dy2 Tm16'
_cell_length_a 18.032
_cell_length_b 4.998
_cell_length_c 7.901
_cell_angle_alpha 90.00
_cell_angle_beta 105.18
_cell_angle_gamma 90.00
_symmetry_space_group_name_H-M 'C 1 2/m 1'
_symmetry_Int_Tables_number 12
_symmetry_space_group_name_Hall '-C 2y'
loop_
_atom_site_label
_atom_site_type_symbol
_atom_site_fract_x
_atom_site_fract_y
_atom_site_fract_z
Pr1 Pr 0.227 0.000 0.138
Dy1 Dy 0.000 0.500 0.500
Tm1 Tm 0.044 0.000 0.227
Tm2 Tm 0.089 0.500 0.953
Tm3 Tm 0.135 0.000 0.677
Tm4 Tm 0.181 0.500 0.408


# 18
# Pr4Dy9Tm11 (GGA-PBE, optimized geometry)
# Theoretical density   8.447 g/cm3
# Calculated total energy   -4.531 eV per atom
# E_form   41 meV per atom
# Size of the total moment   0.0 μB per formula unit
data_Pr4Dy9Tm11
_chemical_formula_sum 'Pr8 Dy18 Tm22'
_cell_length_a 16.216
_cell_length_b 26.189
_cell_length_c 3.596
_cell_angle_alpha 90.00
_cell_angle_beta 90.00
_cell_angle_gamma 90.00
_symmetry_space_group_name_H-M 'C m m m'
_symmetry_Int_Tables_number 65
_symmetry_space_group_name_Hall '-C 2 2'
loop_
_atom_site_label
_atom_site_type_symbol
_atom_site_fract_x
_atom_site_fract_y
_atom_site_fract_z
Pr1 Pr 0.170 0.088 0.000
Dy1 Dy 0.000 0.000 0.000
Dy2 Dy 0.107 0.220 0.000
Dy3 Dy 0.109 0.406 0.000
Tm1 Tm 0.000 0.125 0.500
Tm2 Tm 0.000 0.313 0.500
Tm3 Tm 0.000 0.500 0.500
Tm4 Tm 0.211 0.500 0.500
Tm5 Tm 0.218 0.314 0.500